Computed, not measured: crystalline Li12CrGa11O24 at its relaxed geometry at the PBE+U level of DFT.

abc: 7.4768 8.2134 9.8610
angles: 78.86 86.63 65.61
Space group P1 (No. 1)
Unique sites:
Li: 0.0000 0.0000 0.0000 [1 per cell]
Li: 0.0222 0.6110 0.1390 [1 per cell]
Li: 0.1120 0.9443 0.5555 [1 per cell]
Li: 0.2556 0.9994 0.2523 [1 per cell]
Li: 0.3328 0.3339 0.6667 [1 per cell]
Li: 0.3583 0.9489 0.8036 [1 per cell]
Li: 0.4384 0.2824 0.2199 [1 per cell]
Li: 0.5752 0.3397 0.9145 [1 per cell]
Li: 0.6675 0.6645 0.3328 [1 per cell]
Li: 0.6936 0.2778 0.4754 [1 per cell]
Li: 0.7722 0.6117 0.8904 [1 per cell]
Li: 0.9155 0.6665 0.5853 [1 per cell]
Cr: 0.8263 0.3291 0.1686 [1 per cell]
Ga: 0.0878 0.3318 0.4169 [1 per cell]
Ga: 0.1653 0.6702 0.8328 [1 per cell]
Ga: 0.1924 0.2790 0.9710 [1 per cell]
Ga: 0.2770 0.6146 0.3875 [1 per cell]
Ga: 0.4093 0.6764 0.0800 [1 per cell]
Ga: 0.5056 0.0037 0.4977 [1 per cell]
Ga: 0.5272 0.6148 0.6357 [1 per cell]
Ga: 0.6088 0.9507 0.0542 [1 per cell]
Ga: 0.7530 0.0007 0.7501 [1 per cell]
Ga: 0.8677 0.9409 0.3035 [1 per cell]
Ga: 0.9423 0.2824 0.7213 [1 per cell]
O: 0.0470 0.7904 0.4462 [1 per cell]
O: 0.0634 0.3994 0.5899 [1 per cell]
O: 0.1192 0.1450 0.8685 [1 per cell]
O: 0.1613 0.7370 0.0048 [1 per cell]
O: 0.2107 0.4627 0.3011 [1 per cell]
O: 0.2486 0.0826 0.4321 [1 per cell]
O: 0.2990 0.4183 0.8470 [1 per cell]
O: 0.3043 0.7781 0.7097 [1 per cell]
O: 0.3791 0.1294 0.1100 [1 per cell]
O: 0.3972 0.7327 0.2563 [1 per cell]
O: 0.4543 0.4785 0.5351 [1 per cell]
O: 0.5057 0.0671 0.6707 [1 per cell]
O: 0.5410 0.8011 0.9664 [1 per cell]
O: 0.5624 0.4293 0.0924 [1 per cell]
O: 0.6382 0.7512 0.5130 [1 per cell]
O: 0.6426 0.1130 0.3717 [1 per cell]
O: 0.7111 0.4616 0.7755 [1 per cell]
O: 0.7277 0.0705 0.9227 [1 per cell]
O: 0.7857 0.8117 0.2017 [1 per cell]
O: 0.8394 0.3941 0.3423 [1 per cell]
O: 0.8808 0.1275 0.6350 [1 per cell]
O: 0.9083 0.7504 0.7659 [1 per cell]
O: 0.9662 0.4407 0.0435 [1 per cell]
O: 0.9883 0.0711 0.1846 [1 per cell]

## Properties
- Uncorrected energy: -5.806 eV/atom